(1)
A geometry-optimized Ni2GePt4 structure, computed with PBE.

Lattice parameters (Å, degrees): 6.630 6.013 4.750 75.02 61.18 43.80
Element x y z (fractional)
Ni: 0.136 0.136 0.864
Ni: 0.864 0.864 0.136
Ge: 0.500 0.500 0.500
Pt: 0.000 0.000 0.500
Pt: 0.250 0.250 0.250
Pt: 0.500 0.500 0.000
Pt: 0.750 0.750 0.750

Summary:
distance to the lowest polymorph of the same formula = 197 meV per atom
energy of formation = 8.08 kJ/mol of atoms

(2)
A geometry-optimized BeAlOs2 structure, computed with PBE.

Lattice parameters (Å, degrees): 2.902 2.902 5.919 90.00 90.00 90.00
Element x y z (fractional)
Be: 0.000 0.000 0.000
Al: 0.000 0.000 0.500
Os: 0.500 0.500 0.225
Os: 0.500 0.500 0.775

Summary:
energy of formation = -18.79 kJ/mol of atoms

(3)
A geometry-optimized CeScSnPd structure, computed with PBE.

Lattice parameters (Å, degrees): 5.106 5.106 5.106 60.00 60.00 60.00
Element x y z (fractional)
Ce: 0.000 0.000 0.000
Sc: 0.500 0.500 0.500
Sn: 0.250 0.250 0.250
Pd: 0.750 0.750 0.750

Summary:
energy of formation = -55.84 kJ/mol of atoms

(4)
A geometry-optimized Na3Bi2Pd3 structure, computed with PBE.

Lattice parameters (Å, degrees): 5.836 5.836 14.772 90.00 90.00 131.70
Element x y z (fractional)
Na: 0.062 0.938 0.614
Na: 0.062 0.938 0.886
Na: 0.337 0.663 0.750
Na: 0.663 0.337 0.250
Na: 0.938 0.062 0.114
Na: 0.938 0.062 0.386
Bi: 0.237 0.763 0.096
Bi: 0.237 0.763 0.404
Bi: 0.763 0.237 0.596
Bi: 0.763 0.237 0.904
Pd: 0.377 0.623 0.250
Pd: 0.393 0.607 0.553
Pd: 0.393 0.607 0.947
Pd: 0.607 0.393 0.053
Pd: 0.607 0.393 0.447
Pd: 0.623 0.377 0.750

Summary:
distance to the lowest polymorph of the same formula = 32 meV per atom
energy of formation = -24.07 kJ/mol of atoms

Summary of uncorrected energy in eV per atom
-5.680; -7.677; -5.944; -3.662
(order as listed above)